VASP calculation (GGA-PBE) on a relaxed Zn2NiSn2 crystal.

Results
The value obtained for the energy above the lowest structure with this stoichiometry is 0 meV/atom. As for the space group: P4/mbm (127). The calculated formation energy comes out at 0.168 eV per atom. As for the density of states at the Fermi level: 0.400 states/eV per atom. The total moment is 0.000 μB per atom. As for the calculated volume: 191.11 Å³/cell.

abc: 6.6598 6.6598 4.3088
angles: 90.00 90.00 90.00
Sites, in units of the cell vectors:
Zn: 0.1408 0.3592 0.0000
Zn: 0.3592 0.8592 0.0000
Zn: 0.6408 0.1408 0.0000
Zn: 0.8592 0.6408 0.0000
Ni: 0.0000 0.0000 0.0000
Ni: 0.5000 0.5000 0.0000
Sn: 0.1760 0.6760 0.5000
Sn: 0.3240 0.1760 0.5000
Sn: 0.6760 0.8240 0.5000
Sn: 0.8240 0.3240 0.5000

VASP calculation (GGA-PBE) on a relaxed Zn2NiSn2 crystal.

Results
The value obtained for the energy above the lowest structure with this stoichiometry is 12 meV/atom. As for the space group: P4/mbm (127). The calculated formation energy comes out at 0.179 eV per atom. As for the density of states at the Fermi level: 0.408 states/eV per atom. The total moment is 0.000 μB per atom. As for the calculated volume: 202.91 Å³/cell.

abc: 6.8410 6.8410 4.3357
angles: 90.00 90.00 90.00
Sites, in units of the cell vectors:
Zn: 0.1413 0.3587 0.0000
Zn: 0.3587 0.8587 0.0000
Zn: 0.6413 0.1413 0.0000
Zn: 0.8587 0.6413 0.0000
Ni: 0.0000 0.0000 0.5000
Ni: 0.5000 0.5000 0.5000
Sn: 0.1687 0.6687 0.5000
Sn: 0.3313 0.1687 0.5000
Sn: 0.6687 0.8313 0.5000
Sn: 0.8313 0.3313 0.5000

VASP calculation (GGA-PBE) on a relaxed Zn3Ni7Sn crystal.

Results
As for the space group: C2/m (12). The calculated formation energy comes out at 0.105 eV per atom. As for the density of states at the Fermi level: 0.854 states/eV per atom. The total moment is 0.000 μB per atom. As for the calculated volume: 151.13 Å³/cell.

abc: 5.8574 5.8574 4.8100
angles: 106.08 106.08 92.33
Sites, in units of the cell vectors:
Zn: 0.0000 0.0000 0.0000
Zn: 0.2129 0.7871 0.5000
Zn: 0.7871 0.2129 0.5000
Ni: 0.0572 0.5786 0.8101
Ni: 0.2074 0.2074 0.5273
Ni: 0.4214 0.9428 0.1899
Ni: 0.5000 0.5000 0.5000
Ni: 0.5786 0.0572 0.8101
Ni: 0.7926 0.7926 0.4727
Ni: 0.9428 0.4214 0.1899
Sn: 0.5000 0.5000 0.0000

VASP calculation (GGA-PBE) on a relaxed ZnNi9Sn2 crystal.

Results
As for the space group: P4/mmm (123). The calculated formation energy comes out at -0.149 eV per atom. As for the density of states at the Fermi level: 1.059 states/eV per atom. The total moment is 0.127 μB per atom. As for the calculated volume: 149.96 Å³/cell.

abc: 3.7062 3.7062 10.9176
angles: 90.00 90.00 90.00
Sites, in units of the cell vectors:
Zn: 0.0000 0.0000 0.0000
Ni: 0.0000 0.5000 0.1553
Ni: 0.0000 0.5000 0.5000
Ni: 0.0000 0.5000 0.8447
Ni: 0.5000 0.0000 0.1553
Ni: 0.5000 0.0000 0.5000
Ni: 0.5000 0.0000 0.8447
Ni: 0.5000 0.5000 0.0000
Ni: 0.5000 0.5000 0.3296
Ni: 0.5000 0.5000 0.6704
Sn: 0.0000 0.0000 0.3263
Sn: 0.0000 0.0000 0.6737

VASP calculation (GGA-PBE) on a relaxed ZnNi2Sn crystal.

Results
As for the space group: P4/mmm (123). The calculated formation energy comes out at -0.155 eV per atom. As for the density of states at the Fermi level: 0.513 states/eV per atom. The total moment is 0.000 μB per atom. As for the calculated volume: 56.13 Å³/cell.

abc: 4.1408 4.1408 3.2739
angles: 90.00 90.00 90.00
Sites, in units of the cell vectors:
Zn: 0.0000 0.0000 0.0000
Ni: 0.0000 0.5000 0.5000
Ni: 0.5000 0.0000 0.5000
Sn: 0.5000 0.5000 0.0000

VASP calculation (GGA-PBE) on a relaxed ZnNiSn3 crystal.

Results
The value obtained for the energy above the lowest structure with this stoichiometry is 0 meV/atom. As for the space group: Pm-3m (221). The calculated formation energy comes out at 0.167 eV per atom. As for the density of states at the Fermi level: 0.585 states/eV per atom. The total moment is 0.000 μB per atom. As for the calculated volume: 124.39 Å³/cell.

abc: 4.9918 4.9918 4.9918
angles: 90.00 90.00 90.00
Sites, in units of the cell vectors:
Zn: 0.0000 0.0000 0.0000
Ni: 0.5000 0.5000 0.5000
Sn: 0.0000 0.5000 0.5000
Sn: 0.5000 0.0000 0.5000
Sn: 0.5000 0.5000 0.0000

VASP calculation (GGA-PBE) on a relaxed ZnNi2Sn crystal.

Results
As for the space group: R3m (160). The calculated formation energy comes out at 0.057 eV per atom. As for the density of states at the Fermi level: 0.482 states/eV per atom. The total moment is 0.000 μB per atom. As for the calculated volume: 64.43 Å³/cell.

abc: 4.9776 4.9776 4.9776
angles: 48.97 48.97 48.97
Sites, in units of the cell vectors:
Zn: 0.0000 0.0000 0.0000
Ni: 0.5980 0.5980 0.5980
Ni: 0.7882 0.7882 0.7882
Sn: 0.2024 0.2024 0.2024

VASP calculation (GGA-PBE) on a relaxed ZnNiSn crystal.

Results
As for the space group: Pnma (62). The calculated formation energy comes out at -0.150 eV per atom. As for the density of states at the Fermi level: 0.432 states/eV per atom. The total moment is 0.000 μB per atom. As for the calculated volume: 213.22 Å³/cell.

abc: 8.4193 4.2359 5.9789
angles: 90.00 90.00 90.00
Sites, in units of the cell vectors:
Zn: 0.1108 0.2500 0.0076
Zn: 0.3892 0.7500 0.5076
Zn: 0.6108 0.2500 0.4924
Zn: 0.8892 0.7500 0.9924
Ni: 0.1201 0.7500 0.2535
Ni: 0.3799 0.2500 0.7535
Ni: 0.6201 0.7500 0.2465
Ni: 0.8799 0.2500 0.7465
Sn: 0.1392 0.2500 0.4991
Sn: 0.3608 0.7500 0.9991
Sn: 0.6392 0.2500 0.0009
Sn: 0.8608 0.7500 0.5009

- Number 2 is which compound?
  Zn2NiSn2